(1)
This record from Alexandria via LeMat-Bulk describes AlNiPt2 after structural relaxation. The functional is PBEsol.

Computed properties:
- formation enthalpy at 0 K (eV/atom) = -0.648
- size of the total moment (μB per formula unit) = 0.473

abc: 3.9151 4.4625 3.9151
angles: 116.02 90.00 116.02
Closest atoms and distances in Å follow each position.
Positions (direct):
Ni 0.5000 0.0000 0.5000  8 Pt 2.63, 4 Al 2.77
Al 0.0000 0.0000 0.0000  8 Pt 2.63, 4 Ni 2.77
Pt 0.7500 0.5000 0.2500  4 Ni 2.63, 4 Al 2.63, 4 Pt 2.77
Pt 0.2500 0.5000 0.7500  4 Al 2.63, 4 Ni 2.63, 4 Pt 2.77

---

(2)
This record from Alexandria via LeMat-Bulk describes Ba2CoCu after structural relaxation. The functional is PBEsol.

Computed properties:
- formation enthalpy at 0 K (eV/atom) = 0.441
- size of the total moment (μB per formula unit) = 1.038
- E above lowest polymorph (meV per atom) = 0

abc: 3.4947 3.4947 8.9109
angles: 90.00 90.00 90.00
Closest atoms and distances in Å follow each position.
Positions (direct):
Co 0.0000 0.0000 0.5954  4 Cu 2.54, 1 Ba 2.73
Ba 0.0000 0.0000 0.9012  1 Co 2.73
Ba 0.5000 0.5000 0.3422  1 Cu 2.84
Cu 0.5000 0.5000 0.6612  4 Co 2.54, 1 Ba 2.84

---

(3)
This record from Alexandria via LeMat-Bulk describes Li2VCrO4 after structural relaxation. The functional is PBEsol.

Computed properties:
- size of the total moment (μB per formula unit) = 4.940
- E above lowest polymorph (meV per atom) = 4

abc: 5.0513 5.0397 8.6673
angles: 90.73 106.39 99.31
Closest atoms and distances in Å follow each position.
Positions (direct):
Li 0.0033 0.0053 0.0006  6 O 2.08-2.19
Li 0.0035 0.4977 0.1676  6 O 2.10-2.15
Li 0.0003 0.0011 0.3332  6 O 2.12-2.16
Li 0.9965 0.5056 0.4959  6 O 2.09-2.20
Li 0.9963 0.9989 0.6667  6 O 2.08-2.14
Li 0.9999 0.4911 0.8362  6 O 2.05-2.19
V 0.5016 0.7483 0.0759  6 O 1.99-2.03
V 0.4983 0.2582 0.5885  6 O 1.99-2.03
V 0.4996 0.7423 0.7519  6 O 2.00-2.03
Cr 0.5009 0.2519 0.2504  6 O 1.98-1.99
Cr 0.4996 0.7556 0.4147  6 O 1.98-2.00
Cr 0.5001 0.2447 0.9185  6 O 1.97-1.99
O 0.7285 0.1229 0.1203  2 Cr 1.97-1.99, 1 V 2.01, 3 Li 2.10-2.13
O 0.2740 0.3742 0.0458  2 Cr 1.97-1.99, 1 V 2.02, 3 Li 2.08-2.11
O 0.7245 0.6220 0.2853  2 Cr 1.99, 1 V 2.02, 3 Li 2.11-2.13
O 0.2768 0.8823 0.2116  2 Cr 1.98-1.99, 1 V 2.03, 3 Li 2.12-2.15
O 0.7244 0.1245 0.4539  2 Cr 1.98-1.99, 1 V 2.02, 3 Li 2.12-2.14
O 0.2753 0.3867 0.3787  2 Cr 1.99, 1 V 2.03, 3 Li 2.10-2.16
O 0.7304 0.6278 0.6182  1 Cr 2.00, 2 V 2.00-2.01, 3 Li 2.08-2.19
O 0.2727 0.8794 0.5454  1 Cr 1.98, 2 V 2.03, 3 Li 2.11-2.13
O 0.2640 0.3726 0.7180  2 V 1.99-2.01, 1 Cr 1.99, 3 Li 2.05-2.20
O 0.7290 0.1174 0.7918  1 Cr 1.97, 2 V 2.02-2.03, 3 Li 2.09-2.10
O 0.7354 0.6090 0.9542  1 Cr 1.99, 2 V 1.99-2.01, 3 Li 2.05-2.19
O 0.2653 0.8805 0.8768  1 Cr 1.99, 2 V 1.99-2.01, 3 Li 2.09-2.15

---

(4)
This record from Alexandria via LeMat-Bulk describes Mn2CoPb after structural relaxation. The functional is PBEsol.

Computed properties:
- formation enthalpy at 0 K (eV/atom) = 0.517
- size of the total moment (μB per formula unit) = 6.374
- E above lowest polymorph (meV per atom) = 79

abc: 3.1679 3.1679 5.7491
angles: 90.00 90.00 90.00
Closest atoms and distances in Å follow each position.
Positions (direct):
Co 0.5000 0.5000 0.7980  5 Mn 2.32-2.52
Mn 0.0000 0.0000 0.9984  4 Co 2.52, 4 Mn 2.53
Mn 0.5000 0.5000 0.2014  1 Co 2.32, 4 Mn 2.53
Pb 0.0000 0.0000 0.5023  4 Co 2.81, 6 Mn 2.83-2.90